BaSrTlCu PBE relaxed; ρ = 6.1 g/cm³; E_form = -0.11 eV/atom; space-group type = No. 216; crystal system = cubic; E_tot = -2.63 eV/atom
1.0
0.000 4.068 4.068
4.068 0.000 4.068
4.068 4.068 0.000
Ba Sr Tl Cu
1 1 1 1
Direct
0.000 0.000 0.000
0.500 0.500 0.500
0.750 0.750 0.750
0.250 0.250 0.250


Ba2SrTlCu PBE relaxed; ρ = 5.0 g/cm³; E_form = -0.02 eV/atom; space-group type = No. 123; crystal system = tetragonal; E_tot = -2.42 eV/atom
1.0
6.358 0.000 0.000
0.000 6.358 0.000
0.000 0.000 5.188
Ba Sr Tl Cu
2 1 1 1
Direct
0.000 0.500 0.000
0.500 0.000 0.000
0.000 0.000 0.500
0.500 0.500 0.500
0.500 0.500 0.000


Ba2SrZnCu PBE relaxed; ρ = 4.0 g/cm³; E_form = 0.07 eV/atom; space-group type = No. 123; crystal system = tetragonal; E_tot = -2.11 eV/atom
1.0
6.420 0.000 0.000
0.000 6.420 0.000
0.000 0.000 4.893
Ba Sr Zn Cu
2 1 1 1
Direct
0.000 0.500 0.000
0.500 0.000 0.000
0.000 0.000 0.500
0.500 0.500 0.500
0.500 0.500 0.000